# PBE VIr3Rh2, relaxed
data_VIr3Rh2
_chemical_formula_sum 'V2 Ir6 Rh4'
_space_group_name_H-M_alt 'P 1 21/m 1'
_space_group_IT_number 11
_cell_length_a 6.323
_cell_length_b 2.761
_cell_length_c 9.852
_cell_angle_alpha 90.00
_cell_angle_beta 90.46
_cell_angle_gamma 90.00
loop_
_space_group_symop_operation_xyz
'x,y,z'
'-x,-y,-z'
'-x,y+1/2,-z'
'x,-y+1/2,z'
loop_
_atom_site_label
_atom_site_type_symbol
_atom_site_fract_x
_atom_site_fract_y
_atom_site_fract_z
V1 V 0.194 0.250 0.251
Ir1 Ir 0.089 0.250 0.614
Ir2 Ir 0.341 0.750 0.061
Ir3 Ir 0.400 0.750 0.750
Rh1 Rh 0.090 0.250 0.884
Rh2 Rh 0.341 0.750 0.437
# Total DFT energy (no corrections), eV/atom: -8.55
# Formation energy from the elements, eV per formula unit: -0.9